Pr2NdGeN4: optimized geometry, GGA-PBE.

Formation energy from raw total energies: -0.852 eV/atom
Symmetry: Cmcm (63)
Density: 7.00 g/cm3
Total energy: -7.382 eV/atom

Structure (POSCAR):
```
Pr2NdGeN4
1.0
3.650 0.000 0.000
-1.825 5.906 0.000
0.000 0.000 12.210
N Ge Pr Nd
8 2 4 2
Cartesian
1.825 0.951 3.052
1.825 2.655 10.569
0.000 3.251 4.465
0.000 3.251 1.640
1.825 2.655 7.745
0.000 0.000 6.105
0.000 4.955 9.157
0.000 0.000 0.000
1.825 3.938 9.157
0.000 1.968 3.052
0.000 4.361 11.661
0.000 4.361 6.653
1.825 1.545 5.557
1.825 1.545 0.548
0.000 1.210 9.157
1.825 4.696 3.052
```